# TaNi3

Crystalline TaNi3 at its relaxed geometry (PBE, OQMD via LeMat-Bulk).

Cell: 4.130 4.130 4.130 Å, 60.00 60.00 60.00°
Fractional coordinates of all 4 atoms:
Ni  0.000  0.000  0.000
Ni  0.250  0.250  0.250
Ni  0.500  0.500  0.500
Ta  0.750  0.750  0.750

Properties
Formation energy from the elements (kJ/mol of formula units): -72.1
Space-group type: Fm-3m (225)
Energy (eV per atom): -7.326
Size of the total moment (μB/atom): 0.01